[1]
A relaxed structure of BaNiOs2N, computed with GGA-PBE.

abc: 4.029 5.209 4.029
angles: 90.00 90.00 90.00
Fractional coordinates of all 5 atoms:
Ni: 0.000 0.500 0.000
Os: 0.000 0.000 0.500
Os: 0.500 0.000 0.000
Ba: 0.500 0.500 0.500
N: 0.000 0.000 0.000

***

[2]
A relaxed structure of BaNiPN, computed with GGA-PBE.

abc: 4.411 3.820 4.945
angles: 112.71 90.00 90.00
Fractional coordinates of all 4 atoms:
Ba: 0.500 0.517 0.416
Ni: 0.000 0.210 0.801
P: 0.000 0.830 0.042
N: 0.000 0.011 0.402

***

Raw total energy values (in eV/cell) by entry order: -34.2, -24.0.
M_tot values (in μB/cell) by entry order: 0.0, 0.0.
Formation energy without anion corrections values (in eV per atom) by entry order: 0.861, -0.647.